1.
# RbBeAs2Br

RbBeAs2Br after structural relaxation (PBE, Alexandria via LeMat-Bulk).

```
data_RbBeAs2Br
_cell_length_a 4.451
_cell_length_b 4.451
_cell_length_c 7.861
_cell_angle_alpha 90.00
_cell_angle_beta 90.00
_cell_angle_gamma 90.00
_symmetry_space_group_name_H-M 'P 4/m m m'
_symmetry_Int_Tables_number 123
_symmetry_space_group_name_Hall '-P 4 2'
loop_
_atom_site_label
_atom_site_type_symbol
_atom_site_fract_x
_atom_site_fract_y
_atom_site_fract_z
_atom_site_occupancy
Rb1 Rb 0.000 0.000 0.000 1
Be1 Be 0.500 0.500 0.500 1
As1 As 0.000 0.500 0.500 1
Br1 Br 0.500 0.500 0.000 1
```

Calculated values
Offset from the most stable computed form ... 0.000 eV/atom
ΔE_f (raw) ... -0.15 eV per atom
Total magnetic moment ... 0.00 μB per cell

2.
# AcSmTm2

AcSmTm2 after structural relaxation (PBE, Alexandria via LeMat-Bulk).

```
data_AcSmTm2
_cell_length_a 3.5683
_cell_length_b 3.5683
_cell_length_c 38.0144
_cell_angle_alpha 90.00
_cell_angle_beta 90.00
_cell_angle_gamma 120.00
_symmetry_space_group_name_H-M 'R -3 m'
_symmetry_Int_Tables_number 166
_symmetry_space_group_name_Hall '-R 3 2"'
loop_
_atom_site_label
_atom_site_type_symbol
_atom_site_fract_x
_atom_site_fract_y
_atom_site_fract_z
_atom_site_occupancy
Ac1 Ac 0.0000 0.0000 0.0000 1
Sm1 Sm 0.0000 0.0000 0.5000 1
Tm1 Tm 0.0000 0.0000 0.0923 1
```

Calculated values
Offset from the most stable computed form ... 0.149 eV/atom
Total magnetic moment ... 0.00 μB per cell
Formation energy ... 0.21 eV per atom

3.
# Ca3SnW

Ca3SnW after structural relaxation (PBE, Alexandria via LeMat-Bulk).

```
data_Ca3SnW
_cell_length_a 5.510
_cell_length_b 5.510
_cell_length_c 5.510
_cell_angle_alpha 90.00
_cell_angle_beta 90.00
_cell_angle_gamma 90.00
_symmetry_space_group_name_H-M 'P m -3 m'
_symmetry_Int_Tables_number 221
_symmetry_space_group_name_Hall '-P 4 2 3'
loop_
_atom_site_label
_atom_site_type_symbol
_atom_site_fract_x
_atom_site_fract_y
_atom_site_fract_z
_atom_site_occupancy
Ca1 Ca 0.000 0.000 0.500 1
Sn1 Sn 0.500 0.500 0.500 1
W1 W 0.000 0.000 0.000 1
```

Calculated values
Offset from the most stable computed form ... 0.000 eV/atom
Total magnetic moment ... 0.00 μB per cell
Formation energy ... 0.90 eV per atom

4.
# K2TbInSe4

K2TbInSe4 after structural relaxation (PBE, Alexandria via LeMat-Bulk).

```
data_K2TbInSe4
_cell_length_a 8.585
_cell_length_b 8.682
_cell_length_c 12.356
_cell_angle_alpha 90.00
_cell_angle_beta 90.00
_cell_angle_gamma 90.00
_symmetry_space_group_name_H-M 'I m m a'
_symmetry_Int_Tables_number 74
_symmetry_space_group_name_Hall '-I 2b 2'
loop_
_atom_site_label
_atom_site_type_symbol
_atom_site_fract_x
_atom_site_fract_y
_atom_site_fract_z
_atom_site_occupancy
K1 K 0.000 0.000 0.000 1
K2 K 0.250 0.250 0.250 1
Tb1 Tb 0.000 0.000 0.500 1
In1 In 0.250 0.250 0.750 1
Se1 Se 0.000 0.035 0.738 1
Se2 Se 0.225 0.250 0.513 1
```

Calculated values
ΔE_f (raw) ... -1.25 eV per atom
Total magnetic moment ... 0.00 μB per cell

5.
# PuTiVMo

PuTiVMo after structural relaxation (PBE, Alexandria via LeMat-Bulk).

```
data_PuTiVMo
_cell_length_a 6.447
_cell_length_b 6.447
_cell_length_c 6.447
_cell_angle_alpha 90.00
_cell_angle_beta 90.00
_cell_angle_gamma 90.00
_symmetry_space_group_name_H-M 'F -4 3 m'
_symmetry_Int_Tables_number 216
_symmetry_space_group_name_Hall 'F -4 2 3'
loop_
_atom_site_label
_atom_site_type_symbol
_atom_site_fract_x
_atom_site_fract_y
_atom_site_fract_z
_atom_site_occupancy
Pu1 Pu 0.000 0.000 0.000 1
Ti1 Ti 0.250 0.250 0.750 1
V1 V 0.250 0.250 0.250 1
Mo1 Mo 0.000 0.000 0.500 1
```

Calculated values
Total magnetic moment ... 15.98 μB per cell
Formation energy ... 0.21 eV per atom

6.
# ThSnRuAu

ThSnRuAu after structural relaxation (PBE, Alexandria via LeMat-Bulk).

```
data_ThSnRuAu
_cell_length_a 7.024
_cell_length_b 7.024
_cell_length_c 7.024
_cell_angle_alpha 90.00
_cell_angle_beta 90.00
_cell_angle_gamma 90.00
_symmetry_space_group_name_H-M 'F -4 3 m'
_symmetry_Int_Tables_number 216
_symmetry_space_group_name_Hall 'F -4 2 3'
loop_
_atom_site_label
_atom_site_type_symbol
_atom_site_fract_x
_atom_site_fract_y
_atom_site_fract_z
_atom_site_occupancy
Th1 Th 0.000 0.000 0.000 1
Sn1 Sn 0.000 0.000 0.500 1
Ru1 Ru 0.250 0.250 0.250 1
Au1 Au 0.250 0.250 0.750 1
```

Calculated values
Total magnetic moment ... 0.00 μB per cell
Formation energy ... -0.30 eV per atom

7.
# RbNaCd2I6

RbNaCd2I6 after structural relaxation (PBE, Alexandria via LeMat-Bulk).

```
data_RbNaCd2I6
_cell_length_a 8.220
_cell_length_b 8.253
_cell_length_c 8.376
_cell_angle_alpha 60.64
_cell_angle_beta 60.63
_cell_angle_gamma 60.24
_symmetry_space_group_name_H-M 'P 1'
_symmetry_Int_Tables_number 1
loop_
_symmetry_equiv_pos_as_xyz
'x,y,z'
loop_
_atom_site_label
_atom_site_type_symbol
_atom_site_fract_x
_atom_site_fract_y
_atom_site_fract_z
_atom_site_occupancy
Rb1 Rb 0.000 0.000 0.000 1
Na1 Na 0.469 0.470 0.590 1
Cd1 Cd 0.258 0.264 0.214 1
Cd2 Cd 0.770 0.773 0.687 1
I1 I 0.039 0.448 0.915 1
I2 I 0.138 0.907 0.422 1
I3 I 0.448 0.601 0.911 1
I4 I 0.529 0.142 0.420 1
I5 I 0.597 0.042 0.913 1
I6 I 0.906 0.532 0.422 1
```

Calculated values
ΔE_f (raw) ... -0.83 eV per atom
Total magnetic moment ... 0.00 μB per cell

8.
# PmHo2PaSb4

PmHo2PaSb4 after structural relaxation (PBE, Alexandria via LeMat-Bulk).

```
data_PmHo2PaSb4
_cell_length_a 7.599
_cell_length_b 4.394
_cell_length_c 7.632
_cell_angle_alpha 90.00
_cell_angle_beta 109.36
_cell_angle_gamma 90.00
_symmetry_space_group_name_H-M 'P 1 2/m 1'
_symmetry_Int_Tables_number 10
loop_
_symmetry_equiv_pos_as_xyz
'x,y,z'
'-x,-y,-z'
'-x,y,-z'
'x,-y,z'
loop_
_atom_site_label
_atom_site_type_symbol
_atom_site_fract_x
_atom_site_fract_y
_atom_site_fract_z
_atom_site_occupancy
Pm1 Pm 0.000 0.000 0.000 1
Ho1 Ho 0.500 0.000 0.500 1
Ho2 Ho 0.500 0.500 0.000 1
Pa1 Pa 0.000 0.500 0.500 1
Sb1 Sb 0.254 0.000 0.748 1
Sb2 Sb 0.255 0.500 0.256 1
```

Calculated values
ΔE_f (raw) ... -0.96 eV per atom
Total magnetic moment ... 0.91 μB per cell